## SmMgAgTe3 (PBE-GGA)

Data for SmMgAgTe3 after structural relaxation.

abc: 4.1887 14.3157 11.4575
angles: 90.00 90.00 90.00
Closest atoms and distances in Å follow each position.
Space group Cmcm (No. 63)
Inequivalent atoms, fractional coordinates:
Sm (0.0000, 0.0000, 0.0000) (multiplicity 4)  6 Te 3.13-3.30
Mg (0.0000, 0.2225, 0.2500) (multiplicity 4)  6 Te 3.09-3.14
Ag (0.0000, 0.4802, 0.7500) (multiplicity 4)  4 Te 2.79-2.84
Te (0.0000, 0.1140, 0.7500) (multiplicity 4)  2 Ag 2.84, 2 Mg 3.14
Te (0.0000, 0.3476, 0.5716) (multiplicity 8)  1 Ag 2.79, 2 Mg 3.09

Calculated values
Electronic total energy in eV/cell: -93.24
Offset from the most stable computed form in meV per atom: 21.8